# PrFe2O6 PBE+U optimized geometry
# Size of the total moment (μB/f.u.): 9.31
# DFT total energy (eV/cell): -118.30
# Density of states at the Fermi level (states/eV per cell): 6.585
data_PrFe2O6
_chemical_formula_sum 'Pr2 Fe4 O12'
_cell_length_a 7.6529
_cell_length_b 5.3886
_cell_length_c 5.4359
_cell_angle_alpha 90.00
_cell_angle_beta 90.00
_cell_angle_gamma 90.00
_space_group_name_H-M_alt 'P m n 21'
_space_group_IT_number 31
_space_group_name_Hall 'P 2ac -2'
loop_
_atom_site_label
_atom_site_fract_x
_atom_site_fract_y
_atom_site_fract_z
Pr1 0.0000 0.2478 0.0000
Fe1 0.2489 0.2505 0.5026
O1 0.0000 0.2503 0.4581
O2 0.0000 0.7506 0.0308
O3 0.2312 0.0032 0.7562
O4 0.2306 0.4934 0.7597